DFT (PBE-GGA) results for a relaxed structure of Ca2CdPb2.

a = 6.4597 Å, b = 6.4597 Å, c = 11.5116 Å
α = 113.75°, β = 113.75°, γ = 44.80°
Element x y z (fractional)
Ca: 0.0059 0.0059 0.3272
Ca: 0.1755 0.1755 0.1009
Ca: 0.8245 0.8245 0.8991
Ca: 0.9941 0.9941 0.6728
Cd: 0.2878 0.2878 0.6791
Cd: 0.7122 0.7122 0.3209
Pb: 0.3525 0.3525 0.4416
Pb: 0.4565 0.4565 0.1104
Pb: 0.5435 0.5435 0.8896
Pb: 0.6475 0.6475 0.5584

Summary:
Energy of formation = -0.41 eV per atom
Calculated total energy = -14.37 eV per formula unit
Size of the total moment = 0.00 μB per cell
SG = C2/m (12)